Record 1
Here is crystalline HfTaAg3 at its relaxed geometry from Alexandria. Energies are from PBEsol.

Summary:
* E_form: 1615 meV per atom
* symmetry: Pm-3m

```
HfTaAg3
1.0
4.8889 0.0000 0.0000
0.0000 4.8889 0.0000
0.0000 0.0000 4.8889
Ag Ta Hf
3 1 1
direct
0.0000 0.0000 0.5000
0.0000 0.5000 0.0000
0.5000 0.0000 0.0000
0.0000 0.0000 0.0000
0.5000 0.5000 0.5000
```

Record 2
Here is crystalline CsMgAsH12O10 at its relaxed geometry from Alexandria. Energies are from PBEsol.

Summary:
* symmetry: F-43m

```
CsMgAsH12O10
1.0
7.1722 0.0000 0.0000
3.5861 6.2113 0.0000
3.5861 2.0704 5.8561
O H Cs As Mg
10 12 1 1 1
direct
0.0428 0.6524 0.6524
0.6524 0.6524 0.6524
0.7950 0.2050 0.2050
0.7950 0.2050 0.7950
0.7950 0.7950 0.2050
0.2050 0.7950 0.7950
0.6524 0.0428 0.6524
0.2050 0.2050 0.7950
0.6524 0.6524 0.0428
0.2050 0.7950 0.2050
0.1472 0.7377 0.3773
0.7377 0.7377 0.1472
0.1472 0.7377 0.7377
0.3773 0.7377 0.7377
0.7377 0.7377 0.3773
0.7377 0.3773 0.7377
0.3773 0.1472 0.7377
0.7377 0.1472 0.3773
0.7377 0.3773 0.1472
0.1472 0.3773 0.7377
0.3773 0.7377 0.1472
0.7377 0.1472 0.7377
0.2500 0.2500 0.2500
0.7500 0.7500 0.7500
0.0000 0.0000 0.0000
```

no.,calculated total energy (eV/atom)
1,-4.983
2,-5.334